# 1
Compound: La2HgCl
Source: Alexandria via LeMat-Bulk
Functional: PBE-GGA
Structure: relaxed

Summary:
Density ... 7043 kg/m3
ΔE_f (raw) ... -0.995 eV/atom
Volume ... 30.29 Å³ per atom
Total magnetization ... 0.00 Bohr magnetons per cell
Uncorrected energy ... -16.0 eV for the cell shown

Cell and atoms, written as POSCAR:
```
La2HgCl
1.0
-0.898 4.262 0.508
-4.292 -0.883 -0.184
-0.110 -0.769 6.251
Cl Hg La
1 1 2
Direct
0.000 0.000 0.375
0.500 0.500 0.875
0.000 0.000 0.875
0.500 0.500 0.375
```



# 2
Compound: LaHgCl2
Source: Alexandria via LeMat-Bulk
Functional: PBE-GGA
Structure: relaxed

Summary:
Density ... 6759 kg/m3
ΔE_f (raw) ... -1.273 eV/atom
Volume ... 25.21 Å³ per atom
Total magnetization ... 0.01 Bohr magnetons per cell
Uncorrected energy ... -14.0 eV for the cell shown

Cell and atoms, written as POSCAR:
```
LaHgCl2
1.0
-1.382 5.677 1.825
-4.129 0.805 4.447
5.005 -3.372 -1.024
Cl Hg La
2 1 1
Direct
0.250 0.750 0.500
0.000 0.000 0.000
0.500 0.500 0.000
0.750 0.250 0.500
```



# 3
Compound: LaHgCl2
Source: Alexandria via LeMat-Bulk
Functional: PBE-GGA
Structure: relaxed

Summary:
Density ... 6137 kg/m3
ΔE_f (raw) ... -1.206 eV/atom
Volume ... 27.76 Å³ per atom
Total magnetization ... 0.00 Bohr magnetons per cell
Uncorrected energy ... -13.7 eV for the cell shown

Cell and atoms, written as POSCAR:
```
LaHgCl2
1.0
-5.284 1.898 1.994
0.363 -2.601 -5.356
-1.268 -3.644 0.324
Cl La Hg
2 1 1
Direct
0.500 0.000 0.500
0.000 0.000 0.000
0.500 0.500 0.000
0.000 0.500 0.500
```



# 4
Compound: LaHgCl2
Source: Alexandria via LeMat-Bulk
Functional: PBE-GGA
Structure: relaxed

Summary:
Density ... 6826 kg/m3
ΔE_f (raw) ... -1.319 eV/atom
Volume ... 24.96 Å³ per atom
Total magnetization ... 0.07 Bohr magnetons per cell
Uncorrected energy ... -14.2 eV for the cell shown

Cell and atoms, written as POSCAR:
```
LaHgCl2
1.0
-5.283 -1.182 -0.982
-1.318 -3.538 4.003
2.353 4.952 0.468
Hg Cl La
1 2 1
Direct
0.250 0.750 0.500
0.000 0.000 0.000
0.500 0.500 0.000
0.750 0.250 0.500
```



# 5
Compound: LaHgCl6
Source: Alexandria via LeMat-Bulk
Functional: PBE-GGA
Structure: relaxed

Summary:
Density ... 3768 kg/m3
ΔE_f (raw) ... -1.231 eV/atom
Volume ... 30.42 Å³ per atom
Total magnetization ... 0.98 Bohr magnetons per cell
Uncorrected energy ... -26.2 eV for the cell shown

Cell and atoms, written as POSCAR:
```
LaHgCl6
1.0
-4.298 2.479 -4.338
0.368 -1.437 -6.908
-4.992 -4.451 -2.372
Cl La Hg
6 1 1
Direct
0.237 0.928 0.240
0.581 0.232 0.247
0.419 0.768 0.753
0.078 0.423 0.748
0.922 0.577 0.252
0.763 0.072 0.760
0.500 0.500 0.500
0.000 0.000 0.000
```



# 6
Compound: LaHgCl2
Source: Alexandria via LeMat-Bulk
Functional: PBE-GGA
Structure: relaxed

Summary:
Density ... 5271 kg/m3
ΔE_f (raw) ... -1.449 eV/atom
Volume ... 32.33 Å³ per atom
Total magnetization ... 0.00 Bohr magnetons per cell
Uncorrected energy ... -14.7 eV for the cell shown

Cell and atoms, written as POSCAR:
```
LaHgCl2
1.0
-3.585 -2.702 4.884
-5.478 -3.413 1.530
0.683 -5.778 0.840
Hg La Cl
1 1 2
Direct
0.750 0.750 0.750
0.250 0.250 0.250
0.569 0.569 0.432
0.931 0.931 0.068
```